This record from the Open Quantum Materials Database describes crystalline Ho4InCu2Si4 at its relaxed geometry. The functional is PBE.

Summary:
Space group   No. 12
Final energy   -5.2345 eV per atom
Total magnetic moment   0.00 μB per formula unit

a b c (Å): 7.916 7.916 6.991
angles (deg): 108.06 108.06 30.69
Sites, in units of the cell vectors:
Cu 0.783 0.783 0.364
Cu 0.217 0.217 0.636
Ho 0.347 0.347 0.069
Ho 0.589 0.589 0.384
Ho 0.411 0.411 0.616
Ho 0.653 0.653 0.931
In 0.000 0.000 0.000
Si 0.200 0.200 0.255
Si 0.939 0.939 0.345
Si 0.061 0.061 0.655
Si 0.800 0.800 0.745